18
Lattice="10.844 0.000 0.000 0.000 10.844 0.000 0.000 0.000 5.189" Properties=species:S:1:pos:R:3 comment="Pr6Dy2Mg (PBE, relaxed)" delta_e_f_ev_per_fu=0.2 e_tot_ev_per_atom=-4.3638 e_above_lowest_polymorph_ev_per_atom=0.000 pbc="T T T"
Pr 0.035 3.589 0.000
Pr 1.732 9.112 2.595
Pr 1.833 5.458 2.595
Pr 3.589 0.035 0.000
Pr 3.690 3.690 0.000
Pr 5.387 9.011 2.595
Pr 5.458 1.833 2.595
Pr 7.154 7.154 0.000
Pr 7.256 10.809 0.000
Pr 9.011 5.387 2.595
Pr 9.112 1.732 2.595
Pr 10.809 7.256 0.000
Dy 1.859 1.859 2.595
Dy 3.563 7.281 0.000
Dy 7.281 3.563 0.000
Dy 8.986 8.986 2.595
Mg 0.000 0.000 0.000
Mg 5.422 5.422 2.595

---

15
Lattice="4.070 2.350 6.991 -4.070 2.350 6.991 0.000 -4.700 6.991" Properties=species:S:1:pos:R:3 comment="Y8Te3P3S (PBE, relaxed)" e_tot_ev_per_atom=-6.9178 raw_formation_energy_ev_per_atom=-1.485 pbc="T T T"
Y -2.069 -1.194 11.983
Y 0.000 0.000 4.945
Y 0.000 -2.389 8.990
Y -2.069 1.194 8.990
Y 2.069 -1.194 11.983
Y 0.000 2.389 11.983
Y 0.000 0.000 16.028
Y 2.069 1.194 8.990
Te -2.035 -1.175 6.991
Te -2.035 1.175 13.982
Te 0.000 2.350 6.991
P -4.070 0.000 10.487
P -2.035 1.175 3.496
P 2.035 1.175 3.496
S 0.000 0.000 10.487